(1)
## PaCo2Ni2 (PBE)

Data for a geometry-optimized PaCo2Ni2 structure.

It has space group I4/mmm (No. 139), with a = 3.631 Å, b = 3.631 Å, c = 21.720 Å, α = 90.00°, β = 90.00° and γ = 90.00°. The inequivalent atoms are Pa at (0.000, 0.000, 0.111), Co at (0.000, 0.000, 0.425), Co at (0.000, 0.500, 0.250), Ni at (0.000, 0.000, 0.320) and Ni at (0.000, 0.500, 0.000).

The value obtained for the density of states at the Fermi level is 25.095 states/eV per cell. The formation energy from the elements comes out at -0.1511 eV/atom.

---

(2)
## Pa2CoNi (PBE)

Data for a geometry-optimized Pa2CoNi structure.

It has space group P4/mmm (No. 123), with a = 4.276 Å, b = 4.276 Å, c = 3.911 Å, α = 90.00°, β = 90.00° and γ = 90.00°. The inequivalent atoms are Pa at (0.000, 0.500, 0.000), Co at (0.000, 0.000, 0.500) and Ni at (0.500, 0.500, 0.500).

The value obtained for the density of states at the Fermi level is 5.789 states/eV per cell. The formation energy from the elements comes out at -0.1386 eV/atom.

---

(3)
## PmPaCoNi (PBE)

Data for a geometry-optimized PmPaCoNi structure.

It has space group F-43m (No. 216), with a = 6.763 Å, b = 6.763 Å, c = 6.763 Å, α = 90.00°, β = 90.00° and γ = 90.00°. The inequivalent atoms are Pm at (0.000, 0.000, 0.000), Pa at (0.000, 0.000, 0.500), Co at (0.250, 0.250, 0.250) and Ni at (0.250, 0.250, 0.750).

The value obtained for the density of states at the Fermi level is 20.675 states/eV per cell. The formation energy from the elements comes out at -0.0692 eV/atom.

---

(4)
## PaCoNiPt (PBE)

Data for a geometry-optimized PaCoNiPt structure.

It has space group Pmmm (No. 47), with a = 3.781 Å, b = 3.936 Å, c = 4.174 Å, α = 90.00°, β = 90.00° and γ = 90.00°. The inequivalent atoms are Pa at (0.000, 0.000, 0.000), Co at (0.500, 0.500, 0.000), Ni at (0.500, 0.000, 0.500) and Pt at (0.000, 0.500, 0.500).

The value obtained for the density of states at the Fermi level is 0.787 states/eV per cell. The formation energy from the elements comes out at -0.6300 eV/atom. As for the distance to the lowest polymorph of the same formula: 0.0 meV/atom.

---

Look up the formation energy from the elements of the first one. -0.1511 eV/atom

---

Repeat the fourth record exactly.
## PaCoNiPt (PBE)

Data for a geometry-optimized PaCoNiPt structure.

It has space group Pmmm (No. 47), with a = 3.781 Å, b = 3.936 Å, c = 4.174 Å, α = 90.00°, β = 90.00° and γ = 90.00°. The inequivalent atoms are Pa at (0.000, 0.000, 0.000), Co at (0.500, 0.500, 0.000), Ni at (0.500, 0.000, 0.500) and Pt at (0.000, 0.500, 0.500).

The value obtained for the density of states at the Fermi level is 0.787 states/eV per cell. The formation energy from the elements comes out at -0.6300 eV/atom. As for the distance to the lowest polymorph of the same formula: 0.0 meV/atom.